Record 1
This record from the Alexandria database describes a geometry-optimized SrCa6Zn2 structure. The functional is PBE-GGA.

Cell: 3.8560 7.0359 12.6129 Å, 78.26 81.21 74.10°
Fractional positions:
Ca 0.6723 0.2418 0.4137
Ca 0.6994 0.4699 0.1314
Ca 0.0384 0.2392 0.6839
Ca 0.3277 0.7582 0.5863
Ca 0.3006 0.5301 0.8686
Ca 0.9616 0.7608 0.3161
Zn 0.6692 0.8851 0.7765
Zn 0.3308 0.1149 0.2235
Sr 0.0000 0.0000 0.0000

Computed properties:
The formation energy comes out at -1.89 kcal/mol of atoms. The magnetization is 0.000 μB per atom. As for the space group: C2/m, No. 12.

Record 2
This record from the Alexandria database describes a geometry-optimized SrCaZn2 structure. The functional is PBE-GGA.

Cell: 3.7371 3.7371 8.2511 Å, 90.00 90.00 90.00°
Fractional positions:
Ca 0.0000 0.0000 0.4231
Sr 0.5000 0.5000 0.8140
Zn 0.0000 0.0000 0.0535
Zn 0.5000 0.5000 0.2093

Computed properties:
The formation energy comes out at -2.24 kcal/mol of atoms. The magnetization is 0.000 μB per atom. As for the space group: P4mm, No. 99.

Record 3
This record from the Alexandria database describes a geometry-optimized SrCa2Zn4 structure. The functional is PBE-GGA.

Cell: 4.5358 4.1435 10.2003 Å, 101.72 102.85 90.00°
Fractional positions:
Zn 0.9318 0.4318 0.8636
Zn 0.3599 0.3599 0.7197
Zn 0.0682 0.5682 0.1364
Zn 0.6401 0.6401 0.2803
Ca 0.8109 0.8109 0.6217
Ca 0.1891 0.1891 0.3783
Sr 0.5000 0.0000 0.0000

Computed properties:
The formation energy comes out at -5.56 kcal/mol of atoms. The magnetization is 0.000 μB per atom. As for the space group: Immm, No. 71.

Record 4
This record from the Alexandria database describes a geometry-optimized Sr4CaZn4 structure. The functional is PBE-GGA.

Cell: 6.4910 9.9099 9.9099 Å, 90.00 90.00 90.00°
Fractional positions:
Sr 0.3814 0.3065 0.9216
Sr 0.1186 0.1935 0.5784
Sr 0.8814 0.5784 0.8065
Sr 0.6186 0.9216 0.6935
Sr 0.3814 0.6935 0.0784
Sr 0.6186 0.0784 0.3065
Sr 0.8814 0.4216 0.1935
Sr 0.1186 0.8065 0.4216
Ca 0.0000 0.0000 0.0000
Ca 0.5000 0.5000 0.5000
Zn 0.6336 0.7551 0.3585
Zn 0.3664 0.6415 0.7551
Zn 0.3664 0.3585 0.2449
Zn 0.8664 0.2551 0.8585
Zn 0.8664 0.7449 0.1415
Zn 0.1336 0.8585 0.7449
Zn 0.6336 0.2449 0.6415
Zn 0.1336 0.1415 0.2551

Computed properties:
The formation energy comes out at -1.79 kcal/mol of atoms. The magnetization is 0.000 μB per atom. As for the space group: P4_2/n, No. 86.

Across the entries above, total energy takes the values -1.8863 -1.6552 -1.7814 -1.6136 eV/atom, respectively.